A plane-wave DFT calculation with PBE was carried out for a relaxed LaSbHAu crystal.

Results
The value obtained for the total energy is -4.663 eV/atom. For the total magnetization, the calculation gives 0.00 Bohr magnetons per cell. The space group is P3m1 (156). The value obtained for the theoretical density is 9.0 g cm⁻³.

POSCAR file:
```
LaSbHAu
1.0
4.586 0.000 0.000
-2.293 3.972 0.007
0.000 -0.008 4.628
La Sb H Au
1 1 1 1
Direct
0.905 0.811 0.810
0.572 0.144 0.381
0.238 0.477 0.832
0.239 0.477 0.215
```

***

A plane-wave DFT calculation with PBE was carried out for a relaxed LaTa4Rh crystal.

Results
The value obtained for the total energy is -9.556 eV/atom. For the total magnetization, the calculation gives 0.00 Bohr magnetons per cell. The formation energy comes out at 0.393 eV per atom. The space group is F-43m (216). The value obtained for the theoretical density is 12.9 g cm⁻³.

POSCAR file:
```
LaTa4Rh
1.0
0.000 3.960 3.960
3.960 0.000 3.960
3.960 3.960 0.000
La Ta Rh
1 4 1
Direct
0.750 0.750 0.750
0.873 0.376 0.376
0.376 0.376 0.873
0.376 0.873 0.376
0.376 0.376 0.376
0.000 0.000 0.000
```

***

A plane-wave DFT calculation with PBE was carried out for a relaxed HfAl2Pd crystal.

Results
The value obtained for the total energy is -6.045 eV/atom. For the total magnetization, the calculation gives 0.00 Bohr magnetons per cell. The formation energy comes out at -0.387 eV per atom. The space group is Fm-3m (225). The value obtained for the theoretical density is 8.4 g cm⁻³.

POSCAR file:
```
HfAl2Pd
1.0
0.000 3.228 3.228
3.228 0.000 3.228
3.228 3.228 0.000
Hf Al Pd
1 2 1
Direct
0.500 0.500 0.500
0.250 0.250 0.250
0.750 0.750 0.750
0.000 0.000 0.000
```

***

A plane-wave DFT calculation with PBE was carried out for a relaxed LiReAg2 crystal.

Results
The value obtained for the total energy is -4.437 eV/atom. For the total magnetization, the calculation gives 0.56 Bohr magnetons per cell. For the distance to the lowest polymorph of the same formula, the calculation gives 27.4 kJ/mol of atoms. The formation energy comes out at 0.579 eV per atom. The space group is Pmmm (47). The value obtained for the theoretical density is 10.4 g cm⁻³.

POSCAR file:
```
LiReAg2
1.0
2.679 0.000 0.000
0.000 4.951 0.000
0.000 0.000 4.918
Ag Li Re
2 1 1
Direct
0.000 0.000 0.000
0.500 0.500 0.000
0.500 0.000 0.500
0.000 0.500 0.500
```

***

A plane-wave DFT calculation with PBE was carried out for a relaxed Ba5Ge2Bi crystal.

Results
The value obtained for the total energy is -3.492 eV/atom. For the total magnetization, the calculation gives 1.67 Bohr magnetons per cell. The formation energy comes out at -0.651 eV per atom. The space group is I4/mcm (140). The value obtained for the theoretical density is 5.3 g cm⁻³.

POSCAR file:
```
Ba5Ge2Bi
1.0
-5.707 -4.707 4.980
-3.016 -4.094 -7.326
10.040 -1.481 2.122
Ba Ge Bi
10 4 2
Direct
0.533 0.689 0.722
0.811 0.967 0.278
0.000 0.000 0.000
0.500 0.500 0.000
0.189 0.033 0.722
0.689 0.189 0.722
0.033 0.533 0.722
0.311 0.811 0.278
0.967 0.467 0.278
0.467 0.311 0.278
0.110 0.390 0.000
0.610 0.110 0.000
0.390 0.890 0.000
0.890 0.610 0.000
0.750 0.750 0.500
0.250 0.250 0.500
```

***

A plane-wave DFT calculation with PBE was carried out for a relaxed CuGeIrRh crystal.

Results
The value obtained for the total energy is -6.470 eV/atom. For the total magnetization, the calculation gives 0.00 Bohr magnetons per cell. The formation energy comes out at -0.238 eV per atom. The space group is F-43m (216). The value obtained for the theoretical density is 13.1 g cm⁻³.

POSCAR file:
```
CuGeIrRh
1.0
4.259 0.000 0.000
2.129 3.688 0.000
2.129 1.229 3.477
Ge Ir Rh Cu
1 1 1 1
Direct
0.250 0.250 0.250
0.000 0.000 0.000
0.500 0.500 0.500
0.750 0.750 0.750
```

***

A plane-wave DFT calculation with PBE was carried out for a relaxed Pm3NiRu2 crystal.

Results
The value obtained for the total energy is -6.634 eV/atom. For the total magnetization, the calculation gives 0.00 Bohr magnetons per cell. The formation energy comes out at -0.203 eV per atom. The space group is P4/mmm (123). The value obtained for the theoretical density is 9.1 g cm⁻³.

POSCAR file:
```
Pm3NiRu2
1.0
-0.745 0.835 -3.314
0.080 -3.386 -0.872
-10.152 -0.777 2.086
Pm Ni Ru
3 1 2
Direct
0.000 0.000 0.000
0.000 0.000 0.667
0.000 0.000 0.333
0.500 0.500 0.500
0.500 0.500 0.828
0.500 0.500 0.172
```

***

A plane-wave DFT calculation with PBE was carried out for a relaxed Ce5Tl2Bi2 crystal.

Results
The value obtained for the total energy is -5.062 eV/atom. For the total magnetization, the calculation gives 11.09 Bohr magnetons per cell. The formation energy comes out at -0.377 eV per atom. The space group is Cmce (64). The value obtained for the theoretical density is 8.8 g cm⁻³.

POSCAR file:
```
Ce5Tl2Bi2
1.0
8.504 0.000 0.000
0.000 8.432 0.000
0.000 -4.216 8.064
Ce Tl Bi
10 4 4
Direct
0.000 0.000 0.000
0.500 0.500 0.000
0.834 0.813 0.278
0.166 0.465 0.278
0.334 0.965 0.278
0.666 0.313 0.278
0.166 0.187 0.722
0.834 0.535 0.722
0.666 0.035 0.722
0.334 0.687 0.722
0.000 0.206 0.412
0.500 0.706 0.412
0.000 0.794 0.588
0.500 0.294 0.588
0.639 0.864 0.000
0.361 0.136 0.000
0.139 0.636 0.000
0.861 0.364 0.000
```